[1]
Computed, not measured: Li2Nb2Ga after structural relaxation at the PBEsol level of DFT.

The structure belongs to space group I4/mmm (No. 139); the cell edges are 3.836, 3.836 and 10.764 Å and the angles 90.00°, 90.00° and 90.00°. The distinct sites, in fractional coordinates, are Li at (0.000, 0.000, 0.083), Nb at (0.000, 0.500, 0.250) and Ga at (0.000, 0.000, 0.500).

Its calculated formation energy is 11.75 kcal/mol of atoms.

---

[2]
Computed, not measured: Li2NdGa after structural relaxation at the PBEsol level of DFT.

The structure belongs to space group Fm-3m (No. 225); the cell edges are 6.671, 6.671 and 6.671 Å and the angles 90.00°, 90.00° and 90.00°. The distinct sites, in fractional coordinates, are Li at (0.250, 0.250, 0.250), Nd at (0.000, 0.000, 0.000) and Ga at (0.000, 0.000, 0.500).

Its calculated formation energy is -6.50 kcal/mol of atoms.

---

[3]
Computed, not measured: Li3GaNi after structural relaxation at the PBEsol level of DFT.

The structure belongs to space group Pm-3m (No. 221); the cell edges are 4.397, 4.397 and 4.397 Å and the angles 90.00°, 90.00° and 90.00°. The distinct sites, in fractional coordinates, are Li at (0.000, 0.000, 0.500), Ga at (0.500, 0.500, 0.500) and Ni at (0.000, 0.000, 0.000).

Its calculated formation energy is 8.54 kcal/mol of atoms.

---

[4]
Computed, not measured: SrLiGaNi2 after structural relaxation at the PBEsol level of DFT.

The structure belongs to space group P4/mmm (No. 123); the cell edges are 4.393, 4.393 and 4.403 Å and the angles 90.00°, 90.00° and 90.00°. The distinct sites, in fractional coordinates, are Sr at (0.000, 0.000, 0.000), Li at (0.500, 0.500, 0.500), Ga at (0.500, 0.500, 0.000) and Ni at (0.000, 0.500, 0.500).

Its calculated formation energy is 7.61 kcal/mol of atoms.

---

[5]
Computed, not measured: LiGaNi2Te after structural relaxation at the PBEsol level of DFT.

The structure belongs to space group P4/mmm (No. 123); the cell edges are 4.355, 4.355 and 4.458 Å and the angles 90.00°, 90.00° and 90.00°. The distinct sites, in fractional coordinates, are Li at (0.000, 0.000, 0.000), Ga at (0.000, 0.000, 0.500), Ni at (0.000, 0.500, 0.500) and Te at (0.500, 0.500, 0.000).

The energy relative to the elements, uncorrected comes out at 0.27 eV/atom.

---

[6]
Computed, not measured: Li3GaO after structural relaxation at the PBEsol level of DFT.

The structure belongs to space group Pm-3m (No. 221); the cell edges are 3.928, 3.928 and 3.928 Å and the angles 90.00°, 90.00° and 90.00°. The distinct sites, in fractional coordinates, are Li at (0.000, 0.000, 0.500), Ga at (0.500, 0.500, 0.500) and O at (0.000, 0.000, 0.000).

The energy relative to the elements, uncorrected comes out at -0.91 eV/atom.

---

[7]
Computed, not measured: LiGaO2 after structural relaxation at the PBEsol level of DFT.

The structure belongs to space group I-42d (No. 122); the cell edges are 4.462, 4.462 and 8.628 Å and the angles 90.00°, 90.00° and 90.00°. The distinct sites, in fractional coordinates, are Li at (0.000, 0.000, 0.000), Ga at (0.000, 0.000, 0.500) and O at (0.228, 0.250, 0.625).

The energy relative to the elements, uncorrected comes out at -2.04 eV/atom.

---

[8]
Computed, not measured: LiGaO2 after structural relaxation at the PBEsol level of DFT.

The structure belongs to space group R-3m (No. 166, hexagonal axes); the cell edges are 2.9132, 2.9132 and 14.4107 Å and the angles 90.00°, 90.00° and 120.00°. The distinct sites, in fractional coordinates, are Li at (0.0000, 0.0000, 0.0000), Ga at (0.0000, 0.0000, 0.5000) and O at (0.0000, 0.0000, 0.2421).

The energy relative to the elements, uncorrected comes out at -2.02 eV/atom.

---

[9]
Computed, not measured: LiGa3O after structural relaxation at the PBEsol level of DFT.

The structure belongs to space group Pm-3m (No. 221); the cell edges are 4.342, 4.342 and 4.342 Å and the angles 90.00°, 90.00° and 90.00°. The distinct sites, in fractional coordinates, are Li at (0.000, 0.000, 0.000), Ga at (0.000, 0.000, 0.500) and O at (0.500, 0.500, 0.500).

The energy relative to the elements, uncorrected comes out at 0.46 eV/atom.

---

[10]
Computed, not measured: LiGaO2 after structural relaxation at the PBEsol level of DFT.

The structure belongs to space group Pna2_1 (No. 33); the cell edges are 5.397, 6.363 and 5.006 Å and the angles 90.00°, 90.00° and 90.00°. The distinct sites, in fractional coordinates, are Li at (0.082, 0.124, 0.000), Ga at (0.082, 0.626, 0.004), O at (0.070, 0.614, 0.375) and O at (0.091, 0.137, 0.394).

The energy relative to the elements, uncorrected comes out at -2.05 eV/atom.

---

[11]
Computed, not measured: Li9Ga3P8O29 after structural relaxation at the PBEsol level of DFT.

The structure belongs to space group P-3c1 (No. 165); the cell edges are 9.6551, 9.6551 and 13.5729 Å and the angles 90.00°, 90.00° and 120.00°. The distinct sites, in fractional coordinates, are Li at (0.0000, 0.0000, 0.0000), Li at (0.1012, 0.3369, 0.4369), Li at (0.3333, 0.6667, 0.1191), Ga at (0.0000, 0.4338, 0.2500), P at (0.0905, 0.3168, 0.6555), P at (0.3333, 0.6667, 0.3734), O at (0.0000, 0.2112, 0.7500), O at (0.0030, 0.2272, 0.9346), O at (0.0758, 0.3313, 0.1552), O at (0.1077, 0.4828, 0.6663), O at (0.1890, 0.5085, 0.3346) and O at (0.3333, 0.6667, 0.4848).

The energy relative to the elements, uncorrected comes out at -2.29 eV/atom.

---

[12]
Computed, not measured: Rb2Li3GaO4 after structural relaxation at the PBEsol level of DFT.

The structure belongs to space group Ibam (No. 72); the cell edges are 4.890, 9.713 and 11.271 Å and the angles 90.00°, 90.00° and 90.00°. The distinct sites, in fractional coordinates, are Rb at (0.233, 0.130, 0.000), Li at (0.000, 0.000, 0.250), Li at (0.000, 0.240, 0.250), Ga at (0.000, 0.500, 0.250) and O at (0.235, 0.381, 0.169).

The energy relative to the elements, uncorrected comes out at -1.78 eV/atom.

---

Q: Which size of the total moment values were calculated for the entries above? A: 0.000, 0.000, 0.000, 0.034, 0.000, 0.000, 0.000, 0.005, 0.000, 0.000, 0.005, 0.000, in μB/atom.